The following is a GGA-PBE calculation of LaTbPr2Mg after structural relaxation, from Alexandria via LeMat-Bulk.

## Properties
total magnetization	0.0	Bohr magnetons per cell
electronic total energy	-4.005	eV per atom
calculated formation energy	0.137	eV/atom

a = 6.9335 Å, b = 7.8704 Å, c = 6.1618 Å
α = 90.00°, β = 90.00°, γ = 90.00°
Sites, in units of the cell vectors:
La  0.5899  0.0000  0.2500
La  0.4101  0.0000  0.7500
Tb  0.1646  0.5000  0.7500
Tb  0.8354  0.5000  0.2500
Pr  0.7089  0.7116  0.7502
Pr  0.7089  0.2884  0.7498
Pr  0.2911  0.7116  0.2502
Pr  0.2911  0.2884  0.2498
Mg  0.0000  0.0000  0.0000
Mg  0.0000  0.0000  0.5000